# 1
DFT (meta-GGA SCAN) results for a PBEsol-optimized structure of LaMnTe2.

Computed properties:
Its electronic total energy is -140.09 eV/f.u. The space-group type is Pm (6). The value obtained for the energy above the lowest structure with this stoichiometry is 0.0000 eV/atom. The calculation puts the formation energy (no corrections) at -1.057 eV per atom. The density of states at the Fermi level is 0.705 states/eV/f.u.

Lattice parameters (Å, degrees): 4.1413 4.6962 6.3301 90.00 109.04 90.00
Each line ends with the local moment (μB).
Atoms (fractional coordinates):
1 Te 0.4731 0.5000 0.3206  0.01
2 Mn 0.6894 0.5000 0.7567  4.08
3 Te 0.7787 0.0000 0.9304  -0.01
4 La 0.0588 0.0000 0.4922  -0.06

# 2
DFT (meta-GGA SCAN) results for a PBEsol-optimized structure of MnCrFe2.

Computed properties:
Its electronic total energy is -73.03 eV/f.u. As for the calculated formation energy: -0.034 eV/atom. The space-group type is F-43m (216). The density of states at the Fermi level is 1.244 states/eV/f.u.

Lattice parameters (Å, degrees): 3.9443 3.9443 3.9443 60.00 60.00 60.00
Each line ends with the local moment (μB).
Atoms (fractional coordinates):
1 Fe 0.0000 0.0000 0.0000  2.21
2 Mn 0.2500 0.2500 0.2500  2.61
3 Cr 0.5000 0.5000 0.5000  -2.26
4 Fe 0.7500 0.7500 0.7500  2.45

# 3
DFT (meta-GGA SCAN) results for a PBEsol-optimized structure of BeGaP3.

Computed properties:
Its electronic total energy is -48.06 eV/f.u. As for the calculated formation energy: 0.768 eV/atom. The space-group type is Pm-3m (221). The density of states at the Fermi level is 2.235 states/eV/f.u.

Lattice parameters (Å, degrees): 4.2545 4.2545 4.2545 90.00 90.00 90.00
Atoms (fractional coordinates):
1 P 0.0000 0.5000 0.0000
2 Be 0.0000 0.0000 0.0000
3 Ga 0.5000 0.5000 0.5000
4 P 0.0000 0.0000 0.5000
5 P 0.5000 0.0000 0.0000

# 4
DFT (meta-GGA SCAN) results for a PBEsol-optimized structure of Be2AlAs.

Computed properties:
Its electronic total energy is -35.26 eV/f.u. As for the calculated formation energy: 0.348 eV/atom. The space-group type is R-3m (166). The value obtained for the energy above the lowest structure with this stoichiometry is 0.0148 eV/atom. The density of states at the Fermi level is 1.104 states/eV/f.u.

Lattice parameters (Å, degrees): 3.0032 3.0032 7.2033 77.97 77.97 60.00
Atoms (fractional coordinates):
1 Be 0.7447 0.7447 0.7659
2 As 0.0000 0.0000 0.0000
3 Be 0.2553 0.2553 0.2341
4 Al 0.5000 0.5000 0.5000

# 5
DFT (meta-GGA SCAN) results for a PBEsol-optimized structure of Co2ReRu.

Computed properties:
Its electronic total energy is -139.61 eV/f.u. As for the calculated formation energy: 0.231 eV/atom. The space-group type is C2/m (12). The value obtained for the energy above the lowest structure with this stoichiometry is 0.0388 eV/atom. The density of states at the Fermi level is 4.356 states/eV/f.u.

Lattice parameters (Å, degrees): 2.6048 4.4161 4.5123 99.82 90.00 107.15
Each line ends with the local moment (μB).
Atoms (fractional coordinates):
1 Re 0.5000 0.0000 0.0000  -0.06
2 Ru 0.0000 0.0000 0.5000  0.10
3 Co 0.2509 0.5018 0.2466  1.54
4 Co 0.7491 0.4982 0.7534  1.54

# 6
DFT (meta-GGA SCAN) results for a PBEsol-optimized structure of CaCrP2.

Computed properties:
Its electronic total energy is -50.40 eV/f.u. As for the calculated formation energy: -0.389 eV/atom. The space-group type is P4mm (99). The value obtained for the energy above the lowest structure with this stoichiometry is 0.0000 eV/atom. The density of states at the Fermi level is 1.657 states/eV/f.u.

Lattice parameters (Å, degrees): 3.3930 3.3930 6.7450 90.00 90.00 90.00
Each line ends with the local moment (μB).
Atoms (fractional coordinates):
1 P 0.5000 0.5000 0.2478  -0.13
2 Ca 0.0000 0.0000 0.4575  0.00
3 Cr 0.5000 0.5000 0.9139  2.82
4 P 0.0000 0.0000 0.8809  -0.17

# 7
DFT (meta-GGA SCAN) results for a PBEsol-optimized structure of Y2AlIn.

Computed properties:
Its electronic total energy is -98.83 eV/f.u. As for the calculated formation energy: -0.501 eV/atom. The space-group type is Imm2 (44). The density of states at the Fermi level is 2.500 states/eV/f.u.

Lattice parameters (Å, degrees): 3.8716 4.8279 6.0662 113.45 108.61 90.00
Atoms (fractional coordinates):
1 Al 0.5270 0.0270 0.0539
2 Y 0.7583 0.7583 0.5166
3 Y 0.9930 0.4930 0.9861
4 In 0.2217 0.2217 0.4434

# 8
DFT (meta-GGA SCAN) results for a PBEsol-optimized structure of CdIn2Se.

Computed properties:
Its electronic total energy is -117.47 eV/f.u. The space-group type is I4/mmm (139). The value obtained for the energy above the lowest structure with this stoichiometry is 0.0367 eV/atom. The calculation puts the formation energy (no corrections) at -0.050 eV per atom. The density of states at the Fermi level is 1.540 states/eV/f.u.

Lattice parameters (Å, degrees): 4.2142 4.2142 6.1470 110.05 110.05 90.00
Atoms (fractional coordinates):
1 In 0.2500 0.7500 0.5000
2 Se 0.5000 0.5000 0.0000
3 In 0.7500 0.2500 0.5000
4 Cd 0.0000 0.0000 0.0000